## ZnFePdAu (PBE-GGA)

Data for crystalline ZnFePdAu at its relaxed geometry.

Results
- total magnetization (μB/f.u.) = 3.03
- symmetry = F-43m, No. 216
- E_form (eV/atom) = -0.11
- total DFT energy (no corrections) (eV per atom) = -4.665
- volume (Å³/cell) = 60.2

Lattice parameters (Å, degrees): 4.398 4.398 4.398 60.00 60.00 60.00
Positions (direct):
Zn 0.000 0.000 0.000
Fe 0.500 0.500 0.500
Pd 0.250 0.250 0.250
Au 0.750 0.750 0.750

---

## CuAg12Au3 (PBE-GGA)

Data for crystalline CuAg12Au3 at its relaxed geometry.

Results
- total magnetization (μB/f.u.) = 0.00
- symmetry = P4/mmm, No. 123
- E_form (eV/atom) = 0.00
- total DFT energy (no corrections) (eV per atom) = -3.004
- volume (Å³/cell) = 282.8

Lattice parameters (Å, degrees): 4.127 4.127 16.608 90.00 90.00 90.00
Positions (direct):
Cu 0.000 0.000 0.000
Ag 0.000 0.500 0.119
Ag 0.000 0.500 0.373
Ag 0.000 0.500 0.627
Ag 0.000 0.500 0.881
Ag 0.500 0.000 0.119
Ag 0.500 0.000 0.373
Ag 0.500 0.000 0.627
Ag 0.500 0.000 0.881
Ag 0.500 0.500 0.000
Ag 0.500 0.500 0.246
Ag 0.500 0.500 0.500
Ag 0.500 0.500 0.754
Au 0.000 0.000 0.246
Au 0.000 0.000 0.500
Au 0.000 0.000 0.754

---

## CaMg2Pb (PBE-GGA)

Data for crystalline CaMg2Pb at its relaxed geometry.

Results
- total magnetization (μB/f.u.) = 0.00
- symmetry = Pmmm, No. 47
- E_form (eV/atom) = -0.12
- total DFT energy (no corrections) (eV per atom) = -2.345
- volume (Å³/cell) = 111.9

Lattice parameters (Å, degrees): 3.664 4.564 6.692 90.00 90.00 90.00
Positions (direct):
Ca 0.000 0.000 0.000
Mg 0.500 0.500 0.266
Mg 0.500 0.500 0.734
Pb 0.000 0.000 0.500

---

## LaZn9Ag2 (PBE-GGA)

Data for crystalline LaZn9Ag2 at its relaxed geometry.

Results
- total magnetization (μB/f.u.) = 0.00
- symmetry = R-3m, No. 166
- E_form (eV/atom) = -0.14
- total DFT energy (no corrections) (eV per atom) = -1.984
- volume (Å³/cell) = 204.3

Lattice parameters (Å, degrees): 8.951 8.951 8.951 34.41 34.41 34.41
Positions (direct):
La 0.000 0.000 0.000
Zn 0.081 0.591 0.591
Zn 0.334 0.334 0.334
Zn 0.409 0.409 0.919
Zn 0.409 0.919 0.409
Zn 0.500 0.500 0.500
Zn 0.591 0.081 0.591
Zn 0.591 0.591 0.081
Zn 0.666 0.666 0.666
Zn 0.919 0.409 0.409
Ag 0.137 0.137 0.137
Ag 0.863 0.863 0.863

---

## HoTh4N5 (PBE-GGA)

Data for crystalline HoTh4N5 at its relaxed geometry.

Results
- total magnetization (μB/f.u.) = 0.00
- symmetry = I4/m, No. 87
- total DFT energy (no corrections) (eV per atom) = -9.173
- volume (Å³/cell) = 168.2
- energy relative to the elements, uncorrected (meV per atom) = -1584

Lattice parameters (Å, degrees): 6.272 6.272 6.272 99.65 99.65 131.67
Positions (direct):
Ho 0.000 0.000 0.000
Th 0.201 0.399 0.600
Th 0.399 0.799 0.199
Th 0.601 0.201 0.801
Th 0.799 0.601 0.400
N 0.100 0.707 0.807
N 0.293 0.100 0.393
N 0.500 0.500 0.000
N 0.707 0.900 0.607
N 0.900 0.293 0.193

---

## CrPt2Cl (PBE-GGA)

Data for crystalline CrPt2Cl at its relaxed geometry.

Results
- total magnetization (μB/f.u.) = 4.05
- symmetry = C2/m, No. 12
- total DFT energy (no corrections) (eV per atom) = -5.593
- volume (Å³/cell) = 67.1
- energy relative to the elements, uncorrected (meV per atom) = 295

Lattice parameters (Å, degrees): 5.772 5.772 2.921 104.57 104.57 124.76
Positions (direct):
Cr 0.000 0.000 0.000
Pt 0.000 0.500 0.500
Pt 0.500 0.000 0.500
Cl 0.500 0.500 0.000

---

What did the second record say?
## CuAg12Au3 (PBE-GGA)

Data for crystalline CuAg12Au3 at its relaxed geometry.

Results
- total magnetization (μB/f.u.) = 0.00
- symmetry = P4/mmm, No. 123
- E_form (eV/atom) = 0.00
- total DFT energy (no corrections) (eV per atom) = -3.004
- volume (Å³/cell) = 282.8

Lattice parameters (Å, degrees): 4.127 4.127 16.608 90.00 90.00 90.00
Positions (direct):
Cu 0.000 0.000 0.000
Ag 0.000 0.500 0.119
Ag 0.000 0.500 0.373
Ag 0.000 0.500 0.627
Ag 0.000 0.500 0.881
Ag 0.500 0.000 0.119
Ag 0.500 0.000 0.373
Ag 0.500 0.000 0.627
Ag 0.500 0.000 0.881
Ag 0.500 0.500 0.000
Ag 0.500 0.500 0.246
Ag 0.500 0.500 0.500
Ag 0.500 0.500 0.754
Au 0.000 0.000 0.246
Au 0.000 0.000 0.500
Au 0.000 0.000 0.754